Entry from Alexandria: crystalline CaCoC at its relaxed geometry (PBE-GGA).

Computed properties:
* DOS at the Fermi energy: 1.81 states/eV/f.u.
* total energy: -5.99 eV per atom
* E above lowest polymorph: 251 meV/atom
* energy of formation from the pure elements: 0.4 eV per formula unit

Unit cell a=4.4953 b=5.1066 c=5.1679 alpha=118.52 beta=91.24 gamma=115.50
Sites, in units of the cell vectors:
1 Ca 0.6054 0.7044 0.8466
2 Ca 0.3946 0.2956 0.1534
3 C 0.9322 0.3443 0.4900
4 Co 0.0000 0.0000 0.5000
5 Co 0.5000 0.0000 0.5000
6 C 0.0678 0.6557 0.5100

---

Entry from Alexandria: crystalline CaLaVTc2 at its relaxed geometry (PBE-GGA).

Computed properties:
* DOS at the Fermi energy: 11.97 states/eV/f.u.
* total energy: -5.10 eV per atom
* energy of formation from the pure elements: 11.3 eV per formula unit

Unit cell a=4.6707 b=5.1334 c=4.6707 alpha=90.00 beta=90.00 gamma=90.00
Sites, in units of the cell vectors:
1 V 0.5000 0.5000 0.5000
2 Tc 0.5000 0.0000 0.0000
3 La 0.0000 0.5000 0.0000
4 Tc 0.0000 0.0000 0.5000
5 Ca 0.0000 0.0000 0.0000